[1]
# SrY2TlC (PBE, relaxed)
# * energy: -5.4299 eV per atom
# * Fermi-level density of states: 6.471 states/eV/f.u.
data_SrY2TlC
_cell_length_a 4.951
_cell_length_b 4.951
_cell_length_c 5.415
_cell_angle_alpha 90.00
_cell_angle_beta 90.00
_cell_angle_gamma 90.00
_space_group_name_H-M_alt 'P 4/m m m'
_space_group_IT_number 123
_space_group_name_Hall '-P 4 2'
loop_
_atom_site_label
_atom_site_type_symbol
_atom_site_fract_x
_atom_site_fract_y
_atom_site_fract_z
Sr1 Sr 0.000 0.000 0.000
Y1 Y 0.000 0.500 0.500
Tl1 Tl 0.500 0.500 0.000
C1 C 0.000 0.000 0.500

=====

[2]
# InMoOs2 (PBE, relaxed)
# * energy: -8.6286 eV per atom
# * Fermi-level density of states: 3.540 states/eV/f.u.
data_InMoOs2
_cell_length_a 9.309
_cell_length_b 2.866
_cell_length_c 4.993
_cell_angle_alpha 90.00
_cell_angle_beta 101.60
_cell_angle_gamma 90.00
_space_group_name_H-M_alt 'C 1 2/m 1'
_space_group_IT_number 12
loop_
_space_group_symop_operation_xyz
'x,y,z'
'-x,-y,-z'
'-x,y,-z'
'x,-y,z'
'x+1/2,y+1/2,z'
'-x+1/2,-y+1/2,-z'
'-x+1/2,y+1/2,-z'
'x+1/2,-y+1/2,z'
loop_
_atom_site_label
_atom_site_type_symbol
_atom_site_fract_x
_atom_site_fract_y
_atom_site_fract_z
In1 In 0.000 0.000 0.000
Mo1 Mo 0.000 0.500 0.500
Os1 Os 0.237 0.000 0.717

=====

[3]
# Pr3SmZn3 (PBE, relaxed)
# * energy: -3.4561 eV per atom
# * Fermi-level density of states: 8.440 states/eV/f.u.
data_Pr3SmZn3
_cell_length_a 10.316
_cell_length_b 10.481
_cell_length_c 7.261
_cell_angle_alpha 90.00
_cell_angle_beta 90.00
_cell_angle_gamma 90.00
_space_group_name_H-M_alt 'C m m m'
_space_group_IT_number 65
_space_group_name_Hall '-C 2 2'
loop_
_atom_site_label
_atom_site_type_symbol
_atom_site_fract_x
_atom_site_fract_y
_atom_site_fract_z
Pr1 Pr 0.000 0.248 0.000
Pr2 Pr 0.245 0.500 0.500
Pr3 Pr 0.247 0.500 0.000
Sm1 Sm 0.000 0.245 0.500
Zn1 Zn 0.000 0.000 0.253
Zn2 Zn 0.250 0.250 0.254